A relaxed structure of MgMnPt, computed with PBE.

* formation energy: -0.26 eV per atom
* crystal system: cubic

Lattice parameters (Å, degrees): 6.1540 6.1540 6.1540 90.00 90.00 90.00
Space group F-43m (No. 216)
One atom of each set of equivalent atoms:
Mg 0.0000 0.0000 0.0000 (multiplicity 4)
Mn 0.0000 0.0000 0.5000 (multiplicity 4)
Pt 0.2500 0.2500 0.7500 (multiplicity 4)

***

A relaxed structure of TaFe2Te, computed with PBE.

* raw formation energy: 0.4018 eV per atom
* crystal system: cubic

Lattice parameters (Å, degrees): 6.3349 6.3349 6.3349 90.00 90.00 90.00
Space group F-43m (No. 216)
One atom of each set of equivalent atoms:
Ta 0.0000 0.0000 0.0000 (multiplicity 4)
Fe 0.0000 0.0000 0.5000 (multiplicity 4)
Fe 0.2500 0.2500 0.7500 (multiplicity 4)
Te 0.2500 0.2500 0.2500 (multiplicity 4)

***

A relaxed structure of Ba3LiU2Se9, computed with PBE.

* raw formation energy: -1.4392 eV per atom
* crystal system: trigonal

Lattice parameters (Å, degrees): 7.5030 7.5030 9.3071 90.00 90.00 120.00
Space group P-3m1 (No. 164)
One atom of each set of equivalent atoms:
Ba 0.0000 0.0000 0.0000 (multiplicity 1)
Ba 0.3333 0.6667 0.6443 (multiplicity 2)
Li 0.0000 0.0000 0.5000 (multiplicity 1)
U 0.3333 0.6667 0.1799 (multiplicity 2)
Se 0.0000 0.5000 0.0000 (multiplicity 3)
Se 0.1636 0.3271 0.3351 (multiplicity 6)

***

A relaxed structure of BaSc4S6, computed with PBE.

* raw formation energy: -1.9327 eV per atom
* crystal system: orthorhombic

Lattice parameters (Å, degrees): 3.8142 12.3808 19.6180 90.00 90.00 90.00
Space group Cmcm (No. 63)
One atom of each set of equivalent atoms:
Ba 0.0000 0.1585 0.2500 (multiplicity 4)
Sc 0.0000 0.0958 0.6251 (multiplicity 8)
Sc 0.0000 0.3627 0.5387 (multiplicity 8)
S 0.0000 0.0000 0.0000 (multiplicity 4)
S 0.0000 0.1471 0.7500 (multiplicity 4)
S 0.0000 0.2694 0.0829 (multiplicity 8)
S 0.0000 0.4626 0.6509 (multiplicity 8)

***

A relaxed structure of TaTl2In, computed with PBE.

* formation energy: 0.55 eV per atom
* crystal system: tetragonal
* polymorph energy (0 for the lowest one): 0.1812 eV/atom

Lattice parameters (Å, degrees): 3.9099 3.9099 6.1301 90.00 90.00 90.00
Space group P4mm (No. 99)
One atom of each set of equivalent atoms:
Ta 0.0000 0.0000 0.0000 (multiplicity 1)
Tl 0.0000 0.0000 0.5090 (multiplicity 1)
Tl 0.5000 0.5000 0.2444 (multiplicity 1)
In 0.5000 0.5000 0.7827 (multiplicity 1)

***

A relaxed structure of AcDy2Cd2, computed with PBE.

* formation energy: -0.10 eV per atom
* crystal system: orthorhombic

Lattice parameters (Å, degrees): 3.8994 21.2290 3.8036 90.00 90.00 90.00
Space group Cmmm (No. 65)
One atom of each set of equivalent atoms:
Ac 0.0000 0.0000 0.0000 (multiplicity 2)
Dy 0.0000 0.1827 0.0000 (multiplicity 4)
Cd 0.0000 0.3939 0.5000 (multiplicity 4)

***

A relaxed structure of Ca2ScCr, computed with PBE.

* formation energy: 0.45 eV per atom
* crystal system: tetragonal
* polymorph energy (0 for the lowest one): 0.1517 eV/atom

Lattice parameters (Å, degrees): 5.3844 5.3844 7.5891 90.00 90.00 90.00
Space group I-4m2 (No. 119)
One atom of each set of equivalent atoms:
Ca 0.0000 0.0000 0.0000 (multiplicity 2)
Ca 0.0000 0.5000 0.2500 (multiplicity 2)
Sc 0.0000 0.5000 0.7500 (multiplicity 2)
Cr 0.0000 0.0000 0.5000 (multiplicity 2)

***

A relaxed structure of Ac6Si2BiTe3, computed with PBE.

* raw formation energy: -1.1705 eV per atom
* crystal system: monoclinic

Lattice parameters (Å, degrees): 20.6474 4.7021 9.5333 90.00 103.58 90.00
Space group C2/m (No. 12)
One atom of each set of equivalent atoms:
Ac 0.0103 0.0000 0.2543 (multiplicity 4)
Ac 0.1688 0.5000 0.1082 (multiplicity 4)
Ac 0.1736 0.5000 0.5685 (multiplicity 4)
Si 0.1676 0.0000 0.3349 (multiplicity 4)
Bi 0.0000 0.5000 0.0000 (multiplicity 2)
Te 0.0000 0.5000 0.5000 (multiplicity 2)
Te 0.1629 0.0000 0.8339 (multiplicity 4)

***

A relaxed structure of Ti2BeSe, computed with PBE.

* raw formation energy: 0.3496 eV per atom
* crystal system: tetragonal
* polymorph energy (0 for the lowest one): 0.4599 eV/atom

Lattice parameters (Å, degrees): 5.3762 5.3762 11.5598 90.00 90.00 90.00
Space group I-42d (No. 122)
One atom of each set of equivalent atoms:
Ti 0.2076 0.2500 0.1250 (multiplicity 8)
Be 0.0000 0.0000 0.0000 (multiplicity 4)
Se 0.0000 0.0000 0.5000 (multiplicity 4)

***

A relaxed structure of AcPmHg6, computed with PBE.

* formation energy: -0.39 eV per atom
* crystal system: orthorhombic

Lattice parameters (Å, degrees): 5.1143 6.9961 12.0034 90.00 90.00 90.00
Space group Amm2 (No. 38)
One atom of each set of equivalent atoms:
Ac 0.0000 0.0000 0.0000 (multiplicity 2)
Pm 0.5000 0.0000 0.6831 (multiplicity 2)
Hg 0.0000 0.0000 0.5161 (multiplicity 2)
Hg 0.0000 0.2396 0.2555 (multiplicity 4)
Hg 0.5000 0.0000 0.1791 (multiplicity 2)
Hg 0.5000 0.2254 0.4208 (multiplicity 4)

***

A relaxed structure of Ac2PCl, computed with PBE.

* raw formation energy: -1.3058 eV per atom
* crystal system: cubic
* polymorph energy (0 for the lowest one): 0.2656 eV/atom

Lattice parameters (Å, degrees): 7.5309 7.5309 7.5309 90.00 90.00 90.00
Space group Fm-3m (No. 225)
One atom of each set of equivalent atoms:
Ac 0.2500 0.2500 0.2500 (multiplicity 8)
P 0.0000 0.0000 0.0000 (multiplicity 4)
Cl 0.0000 0.0000 0.5000 (multiplicity 4)

***

A relaxed structure of LiAg, computed with PBE.

* formation energy: -0.04 eV per atom
* crystal system: hexagonal

Lattice parameters (Å, degrees): 7.4870 7.4870 4.7373 90.00 90.00 120.00
Space group P6_3/m (No. 176)
One atom of each set of equivalent atoms:
Li 0.0825 0.7929 0.2500 (multiplicity 6)
Ag 0.0982 0.6246 0.7500 (multiplicity 6)

***

| no. | final energy (eV/atom) | density (g cm⁻³) |
| --- | --- | --- |
| 1 | -5.86 | 7.82 |
| 2 | -7.58 | 10.98 |
| 3 | -5.55 | 5.88 |
| 4 | -6.66 | 3.65 |
| 5 | -4.28 | 12.48 |
| 6 | -3.13 | 8.19 |
| 7 | -4.54 | 2.67 |
| 8 | -5.24 | 7.42 |
| 9 | -5.40 | 3.65 |
| 10 | -1.72 | 12.18 |
| 11 | -5.17 | 8.09 |
| 12 | -2.42 | 4.97 |